[1]
PrNd3Ho5 | PBE | relaxed Values from VASP.

Output
SG: C2/c, No. 15

The structure in Quantum ESPRESSO input format:
```
&SYSTEM
  ibrav = 0, nat = 18, ntyp = 3
/
ATOMIC_SPECIES
Pr 140.91 Pr.upf
Nd 144.24 Nd.upf
Ho 164.93 Ho.upf
ATOMIC_POSITIONS angstrom
Pr 6.302 2.544 7.969
Pr 8.553 -2.544 2.656
Nd 0.000 0.000 0.000
Nd -2.251 0.000 5.312
Nd 3.318 1.608 6.757
Nd 9.286 1.608 9.180
Nd 5.569 -1.608 1.445
Nd 11.537 -1.608 3.867
Ho 2.011 1.481 10.288
Ho 5.193 1.474 3.205
Ho 11.913 1.474 2.107
Ho 8.553 0.447 2.656
Ho 10.593 1.481 5.649
Ho 4.262 -1.481 4.976
Ho 6.302 -0.447 7.969
Ho 2.942 -1.474 8.517
Ho 9.662 -1.474 7.420
Ho 12.844 -1.481 0.337
CELL_PARAMETERS angstrom
9.678 -3.020 0.000
9.678 3.020 0.000
-4.501 0.000 10.625
```


[2]
Pr5Nd3Ho3 | PBE | relaxed Values from VASP.

Output
SG: P-62m, No. 189

The structure in Quantum ESPRESSO input format:
```
&SYSTEM
  ibrav = 0, nat = 11, ntyp = 3
/
ATOMIC_SPECIES
Pr 140.91 Pr.upf
Nd 144.24 Nd.upf
Ho 164.93 Ho.upf
ATOMIC_POSITIONS angstrom
Pr -3.803 6.587 0.000
Pr 0.000 6.620 0.000
Pr 1.931 3.344 0.000
Pr 7.606 0.000 0.000
Pr 5.733 3.310 0.000
Nd -2.305 3.993 1.738
Nd 4.611 0.000 1.738
Nd 3.428 5.938 1.738
Ho -0.909 1.575 0.000
Ho 1.818 0.000 0.000
Ho 4.824 8.356 0.000
CELL_PARAMETERS angstrom
11.467 0.000 0.000
-5.733 9.931 0.000
0.000 0.000 3.477
```


[3]
PrNd6Ho2 | PBE | relaxed Values from VASP.

Output
SG: P-1, No. 2

The structure in Quantum ESPRESSO input format:
```
&SYSTEM
  ibrav = 0, nat = 9, ntyp = 3
/
ATOMIC_SPECIES
Pr 140.91 Pr.upf
Nd 144.24 Nd.upf
Ho 164.93 Ho.upf
ATOMIC_POSITIONS angstrom
Pr 0.000 0.000 0.000
Nd 1.838 5.996 7.408
Nd 1.832 3.037 5.294
Nd 1.829 0.034 3.155
Nd 3.670 8.983 6.324
Nd 3.667 5.979 4.185
Nd 3.661 3.021 2.071
Ho 1.838 5.963 1.046
Ho 3.662 3.053 8.432
CELL_PARAMETERS angstrom
3.657 0.000 0.000
0.014 8.942 0.000
1.828 0.074 9.479
```


| no. | relative energy among the computed polymorphs (eV/f.u.) |
| --- | --- |
| 1 | 0.000 |
| 2 | 0.000 |
| 3 | 0.000 |